RbSrO2F | PBEsol | optimized geometry

Values from the calculation:
The calculation puts the total energy at -4.17 eV/atom. As for the density: 4.1 g/cm³. The value obtained for the volume is 90.44 Å³/cell. Its size of the total moment is 0.071 μB per atom.

abc: 4.361 4.361 4.755
angles: 90.00 90.00 90.00
Space group P4/mmm (No. 123)
One atom of each set of equivalent atoms:
Rb1 0.000 0.000 0.000 [1 per cell]
Sr1 0.500 0.500 0.500 [1 per cell]
O1 0.000 0.500 0.000 [2 per cell]
F1 0.000 0.000 0.500 [1 per cell]

Os2RuPb | PBEsol | optimized geometry

Values from the calculation:
As for the formation energy: 1.13 eV per atom. The calculation puts the total energy at -8.52 eV/atom. As for the density: 17.0 g/cm³. The value obtained for the volume is 134.22 Å³/cell. Its size of the total moment is 0.004 μB per atom.

abc: 2.830 4.849 9.781
angles: 90.00 90.00 90.00
Space group Cmmm (No. 65)
One atom of each set of equivalent atoms:
Os1 0.000 0.000 0.221 [4 per cell]
Ru1 0.000 0.500 0.000 [2 per cell]
Pb1 0.000 0.500 0.500 [2 per cell]

CeYNi4 | PBEsol | optimized geometry

Values from the calculation:
As for the formation energy: -0.39 eV per atom. The calculation puts the total energy at -6.73 eV/atom. As for the density: 8.7 g/cm³. The value obtained for the volume is 352.30 Å³/cell. Its size of the total moment is 0.001 μB per atom.

abc: 7.063 7.063 7.063
angles: 90.00 90.00 90.00
Space group F-43m (No. 216)
One atom of each set of equivalent atoms:
Ce1 0.000 0.000 0.000 [4 per cell]
Y1 0.250 0.250 0.250 [4 per cell]
Ni1 0.125 0.125 0.625 [16 per cell]